1.
CaPr2Tc after structural relaxation, computed with PBE.

Output
Distance to the lowest polymorph of the same formula = 245.8 meV per atom
Energy of formation from the pure elements = 0.37 eV/atom
SG = R-3m, No. 166
DFT total energy = -5.11 eV/atom

Lattice parameters (Å, degrees): 3.6437 3.6437 34.0541 90.00 90.00 120.00
Positions (direct):
1 Ca 0.0000 0.0000 0.0000
2 Ca 0.3333 0.6667 0.6667
3 Ca 0.6667 0.3333 0.3333
4 Pr 0.0000 0.0000 0.1070
5 Pr 0.0000 0.0000 0.8930
6 Pr 0.3333 0.6667 0.5596
7 Pr 0.3333 0.6667 0.7737
8 Pr 0.6667 0.3333 0.2263
9 Pr 0.6667 0.3333 0.4404
10 Tc 0.0000 0.0000 0.5000
11 Tc 0.3333 0.6667 0.1667
12 Tc 0.6667 0.3333 0.8333

---

2.
MgAgAsSe2 after structural relaxation, computed with PBE.

Output
Distance to the lowest polymorph of the same formula = 0.0 meV per atom
Energy relative to the elements, uncorrected = 0.4094 eV per atom
SG = P4/mmm, No. 123
DFT total energy = -2.80 eV/atom

Lattice parameters (Å, degrees): 5.0760 5.0760 4.9530 90.00 90.00 90.00
Positions (direct):
1 Mg 0.0000 0.0000 0.0000
2 Ag 0.5000 0.5000 0.5000
3 As 0.0000 0.0000 0.5000
4 Se 0.0000 0.5000 0.0000
5 Se 0.5000 0.0000 0.0000

---

3.
HfU2Mo after structural relaxation, computed with PBE.

Output
Energy of formation from the pure elements = 0.44 eV/atom
SG = R-3m, No. 166
DFT total energy = -10.40 eV/atom

Lattice parameters (Å, degrees): 3.1075 3.1075 29.5512 90.00 90.00 120.00
Positions (direct):
1 Hf 0.0000 0.0000 0.0000
2 Hf 0.3333 0.6667 0.6667
3 Hf 0.6667 0.3333 0.3333
4 U 0.0000 0.0000 0.2431
5 U 0.0000 0.0000 0.7569
6 U 0.3333 0.6667 0.4236
7 U 0.3333 0.6667 0.9098
8 U 0.6667 0.3333 0.0902
9 U 0.6667 0.3333 0.5764
10 Mo 0.0000 0.0000 0.5000
11 Mo 0.3333 0.6667 0.1667
12 Mo 0.6667 0.3333 0.8333

---

4.
WBr3 after structural relaxation, computed with PBE.

Output
Distance to the lowest polymorph of the same formula = 3.7 meV per atom
Energy relative to the elements, uncorrected = -0.0918 eV per atom
SG = Cmmm, No. 65
DFT total energy = -4.58 eV/atom

Lattice parameters (Å, degrees): 5.2594 13.5846 3.8437 90.00 90.00 90.00
Positions (direct):
1 W 0.0000 0.0000 0.0000
2 W 0.5000 0.5000 0.0000
3 Br 0.0000 0.1304 0.5000
4 Br 0.0000 0.5000 0.0000
5 Br 0.0000 0.8696 0.5000
6 Br 0.5000 0.0000 0.0000
7 Br 0.5000 0.3696 0.5000
8 Br 0.5000 0.6304 0.5000